A geometry-optimized CrPBr2 structure, computed with PBE.

Unit cell a=2.963 b=2.963 c=9.950 alpha=90.00 beta=90.00 gamma=90.01
Positions (direct):
Br 0.000 0.000 0.984
Br 0.500 0.500 0.350
Cr 0.000 0.000 0.518
P 0.500 0.500 0.648

Output
DFT total energy ... -17.392 eV per cell
Magnetic moment ... 0.00 μB per formula unit
Volume ... 21.8 A^3/atom
E_form (uncorrected) ... 0.247 eV/atom
Excess energy over the best structure of this formula in the dataset ... 2.50 eV/f.u.


A geometry-optimized Pm2Pr3Ho6 structure, computed with PBE.

Unit cell a=6.198 b=6.208 c=11.688 alpha=84.89 beta=79.73 gamma=60.06
Positions (direct):
Pm 0.834 0.333 0.500
Pm 0.166 0.667 0.500
Pr 0.336 0.328 0.000
Pr 0.000 0.000 0.000
Pr 0.664 0.672 0.000
Ho 0.916 0.667 0.252
Ho 0.250 0.000 0.252
Ho 0.750 0.000 0.748
Ho 0.417 0.667 0.748
Ho 0.084 0.333 0.748
Ho 0.583 0.333 0.252

Output
DFT total energy ... -49.198 eV per cell
Magnetic moment ... 0.00 μB per formula unit
Volume ... 34.9 A^3/atom
Energy of formation from the pure elements ... 192 meV/atom
Excess energy over the best structure of this formula in the dataset ... 0.00 eV/f.u.